A plane-wave DFT calculation with GGA-PBE was carried out for crystalline Nd2PuCuSe5 at its relaxed geometry.

- calculated volume (Å³ per atom) = 24.60
- energy relative to the elements, uncorrected (kJ/mol of atoms) = -140.4
- space-group type = Cmc2_1
- spin magnetization (μB/cell) = 10.0

Unit cell a=9.1476 b=9.1476 c=12.1287 alpha=90.00 beta=90.00 gamma=154.13
Positions (direct):
Nd: 0.1083 0.8917 0.5000
Nd: 0.1209 0.8791 0.1237
Nd: 0.8791 0.1209 0.6237
Nd: 0.8917 0.1083 0.0000
Pu: 0.1979 0.8021 0.8243
Pu: 0.8021 0.1979 0.3243
Cu: 0.4364 0.5636 0.2683
Cu: 0.5636 0.4364 0.7683
Se: 0.0446 0.9554 0.8745
Se: 0.2902 0.7098 0.4900
Se: 0.3148 0.6852 0.1594
Se: 0.3609 0.6391 0.8158
Se: 0.4992 0.5008 0.5928
Se: 0.5008 0.4992 0.0928
Se: 0.6391 0.3609 0.3158
Se: 0.6852 0.3148 0.6594
Se: 0.7098 0.2902 0.9900
Se: 0.9554 0.0446 0.3745